# 1
## NaTa3Pb5 (PBE)

Data for a relaxed structure of NaTa3Pb5.

Cell lengths 5.7532, 5.7532, 9.1624 Å; angles 90.00, 90.00, 120.00 degrees
Closest atoms and distances in Å follow each position.
Fractional positions:
Ta1 0.5000 0.0000 0.5000  4 Ta 2.88, 6 Pb 2.88-3.12
Ta2 0.0000 0.5000 0.5000  6 Pb 2.88-3.12, 4 Ta 2.88
Ta3 0.5000 0.5000 0.5000  4 Ta 2.88, 6 Pb 2.88-3.12
Pb1 0.6667 0.3333 0.2115  3 Ta 3.12, 3 Pb 3.32
Pb2 0.3333 0.6667 0.7885  3 Ta 3.12, 3 Pb 3.32
Pb3 0.0000 0.0000 0.5000  6 Ta 2.88
Pb4 0.3333 0.6667 0.2115  3 Ta 3.12, 3 Pb 3.32
Pb5 0.6667 0.3333 0.7885  3 Ta 3.12, 3 Pb 3.32
Na1 0.0000 0.0000 0.0000  12 Pb 3.85

## Properties
DFT total energy: -5.888 eV/atom
Crystal system: hexagonal
Space-group type: No. 191

***

# 2
## NaTbPb6 (PBE)

Data for a relaxed structure of NaTbPb6.

Cell lengths 4.8630, 4.8630, 9.9838 Å; angles 90.00, 90.00, 90.00 degrees
Closest atoms and distances in Å follow each position.
Fractional positions:
Pb1 0.0000 0.5000 0.2491  8 Pb 3.44-3.49, 2 Na 3.48, 2 Tb 3.49
Pb2 0.5000 0.5000 0.5000  4 Tb 3.44, 8 Pb 3.49
Pb3 0.5000 0.5000 0.0000  4 Na 3.44, 8 Pb 3.48
Pb4 0.5000 0.0000 0.7509  8 Pb 3.44-3.49, 2 Na 3.48, 2 Tb 3.49
Pb5 0.5000 0.0000 0.2491  8 Pb 3.44-3.49, 2 Na 3.48, 2 Tb 3.49
Pb6 0.0000 0.5000 0.7509  8 Pb 3.44-3.49, 2 Na 3.48, 2 Tb 3.49
Na1 0.0000 0.0000 0.0000  12 Pb 3.44-3.48
Tb1 0.0000 0.0000 0.5000  12 Pb 3.44-3.49

## Properties
DFT total energy: -3.741 eV/atom
Crystal system: tetragonal
Space-group type: No. 123

***

# 3
## NaTcPb (PBE)

Data for a relaxed structure of NaTcPb.

Cell lengths 4.7205, 4.7205, 4.7205 Å; angles 60.00, 60.00, 60.00 degrees
Closest atoms and distances in Å follow each position.
Fractional positions:
Tc1 0.2500 0.2500 0.2500  4 Pb 2.89, 4 Na 2.89
Na1 0.0000 0.0000 0.0000  4 Tc 2.89
Pb1 0.5000 0.5000 0.5000  4 Tc 2.89

## Properties
Crystal system: cubic
Space-group type: No. 216
Polymorph energy (0 for the lowest one): 0.00 eV per formula unit

***

# 4
## NaTcPb (PBE)

Data for a relaxed structure of NaTcPb.

Cell lengths 4.7314, 4.7314, 4.7314 Å; angles 60.00, 60.00, 60.00 degrees
Closest atoms and distances in Å follow each position.
Fractional positions:
Pb1 0.2500 0.2500 0.2500  4 Na 2.90
Tc1 0.7500 0.7500 0.7500  4 Na 2.90
Na1 0.0000 0.0000 0.0000  4 Tc 2.90, 4 Pb 2.90

## Properties
Crystal system: cubic
Space-group type: No. 216
Polymorph energy (0 for the lowest one): 1.12 eV per formula unit

***

# 5
## NaTcPbW (PBE)

Data for a relaxed structure of NaTcPbW.

Cell lengths 4.6677, 4.6677, 4.6677 Å; angles 60.00, 60.00, 60.00 degrees
Closest atoms and distances in Å follow each position.
Fractional positions:
Pb1 0.0000 0.0000 0.0000  4 Na 2.86, 4 W 2.86
Tc1 0.5000 0.5000 0.5000  4 W 2.86, 4 Na 2.86
W1 0.2500 0.2500 0.2500  4 Tc 2.86, 4 Pb 2.86
Na1 0.7500 0.7500 0.7500  4 Pb 2.86, 4 Tc 2.86

## Properties
Crystal system: cubic
Space-group type: No. 216
Polymorph energy (0 for the lowest one): 0.41 eV per formula unit

***

# 6
## NaTcPbW (PBE)

Data for a relaxed structure of NaTcPbW.

Cell lengths 4.6357, 4.6357, 4.6357 Å; angles 60.00, 60.00, 60.00 degrees
Closest atoms and distances in Å follow each position.
Fractional positions:
Tc1 0.2500 0.2500 0.2500  4 Pb 2.84, 4 W 2.84
W1 0.0000 0.0000 0.0000  4 Na 2.84, 4 Tc 2.84
Na1 0.7500 0.7500 0.7500  4 W 2.84, 4 Pb 2.84
Pb1 0.5000 0.5000 0.5000  4 Tc 2.84, 4 Na 2.84

## Properties
Crystal system: cubic
Space-group type: No. 216
Polymorph energy (0 for the lowest one): 0.00 eV per formula unit

***

# 7
## NaUPb (PBE)

Data for a relaxed structure of NaUPb.

Cell lengths 5.2141, 5.2141, 5.2141 Å; angles 60.00, 60.00, 60.00 degrees
Closest atoms and distances in Å follow each position.
Fractional positions:
U1 0.0000 0.0000 0.0000  4 Pb 3.19
Pb1 0.2500 0.2500 0.2500  4 Na 3.19, 4 U 3.19
Na1 0.5000 0.5000 0.5000  4 Pb 3.19

## Properties
Crystal system: cubic
Space-group type: No. 216
Polymorph energy (0 for the lowest one): 0.00 eV per formula unit

***

# 8
## NaUPb (PBE)

Data for a relaxed structure of NaUPb.

Cell lengths 5.2366, 5.2366, 5.2366 Å; angles 60.00, 60.00, 60.00 degrees
Closest atoms and distances in Å follow each position.
Fractional positions:
U1 0.0000 0.0000 0.0000  4 Pb 3.21, 4 Na 3.21
Na1 0.2500 0.2500 0.2500  4 U 3.21
Pb1 0.7500 0.7500 0.7500  4 U 3.21

## Properties
Crystal system: cubic
Space-group type: No. 216
Polymorph energy (0 for the lowest one): 0.88 eV per formula unit

***

# 9
## NaPb5W3 (PBE)

Data for a relaxed structure of NaPb5W3.

Cell lengths 5.6216, 5.6216, 9.1061 Å; angles 90.00, 90.00, 120.00 degrees
Closest atoms and distances in Å follow each position.
Fractional positions:
Pb1 0.6667 0.3333 0.7834  3 W 3.05, 3 Pb 3.25
Pb2 0.3333 0.6667 0.2166  3 W 3.05, 3 Pb 3.25
Pb3 0.3333 0.6667 0.7834  3 W 3.05, 3 Pb 3.25
Pb4 0.6667 0.3333 0.2166  3 W 3.05, 3 Pb 3.25
Pb5 0.0000 0.0000 0.5000  6 W 2.81
W1 0.5000 0.0000 0.5000  4 W 2.81, 6 Pb 2.81-3.05
W2 0.5000 0.5000 0.5000  4 W 2.81, 6 Pb 2.81-3.05
W3 0.0000 0.5000 0.5000  6 Pb 2.81-3.05, 4 W 2.81
Na1 0.0000 0.0000 0.0000  12 Pb 3.80

## Properties
DFT total energy: -6.088 eV/atom
Crystal system: hexagonal
Space-group type: No. 191

***

# 10
## NaPbW (PBE)

Data for a relaxed structure of NaPbW.

Cell lengths 4.7476, 4.7476, 4.7476 Å; angles 60.00, 60.00, 60.00 degrees
Closest atoms and distances in Å follow each position.
Fractional positions:
Na1 0.0000 0.0000 0.0000  4 W 2.91, 4 Pb 2.91
W1 0.7500 0.7500 0.7500  4 Na 2.91
Pb1 0.2500 0.2500 0.2500  4 Na 2.91

## Properties
DFT total energy: -4.228 eV/atom
Crystal system: cubic
Space-group type: No. 216

***

# 11
## NaZr3Pb5 (PBE)

Data for a relaxed structure of NaZr3Pb5.

Cell lengths 6.0444, 6.0444, 8.1525 Å; angles 90.00, 90.00, 120.00 degrees
Closest atoms and distances in Å follow each position.
Fractional positions:
Pb1 0.3333 0.6667 0.8145  1 Pb 3.02, 3 Zr 3.10
Pb2 0.6667 0.3333 0.1855  1 Pb 3.02, 3 Zr 3.10
Pb3 0.0000 0.0000 0.5000  6 Zr 3.02
Pb4 0.6667 0.3333 0.8145  1 Pb 3.02, 3 Zr 3.10
Pb5 0.3333 0.6667 0.1855  1 Pb 3.02, 3 Zr 3.10
Zr1 0.0000 0.5000 0.5000  4 Zr 3.02, 6 Pb 3.02-3.10
Zr2 0.5000 0.5000 0.5000  4 Zr 3.02, 6 Pb 3.02-3.10
Zr3 0.5000 0.0000 0.5000  6 Pb 3.02-3.10, 4 Zr 3.02
Na1 0.0000 0.0000 0.0000  14 Pb 3.80-4.08

## Properties
DFT total energy: -5.036 eV/atom
Crystal system: hexagonal
Space-group type: No. 191

***

# 12
## NaZrPb (PBE)

Data for a relaxed structure of NaZrPb.

Cell lengths 4.7998, 4.7998, 4.7998 Å; angles 60.00, 60.00, 60.00 degrees
Closest atoms and distances in Å follow each position.
Fractional positions:
Pb1 0.2500 0.2500 0.2500  4 Na 2.94
Na1 0.0000 0.0000 0.0000  4 Pb 2.94, 4 Zr 2.94
Zr1 0.7500 0.7500 0.7500  4 Na 2.94

## Properties
DFT total energy: -3.815 eV/atom
Crystal system: cubic
Space-group type: No. 216

***

Record order is preserved below.
Total magnetization: 0.0000, 0.0014, 0.7009, 1.0383, 0.0001, 0.0003, 1.0034, 0.9929, 0.0014, 1.0415, 0.0020, 0.0361 μB/atom